1.
5
Lattice="5.934 0.000 0.000 0.000 5.934 0.000 0.000 0.000 5.061" Properties=species:S:1:pos:R:3 comment="CaMg2HgOs | the Alexandria database | PBE | relaxed" dft_energy_ev_per_fu=-9.180 magnetic_moment_mub_per_cell=2.1 crystal_system=tetragonal pbc="T T T"
Ca 0.000 0.000 0.000
Mg 0.000 2.967 0.000
Mg 2.967 0.000 0.000
Hg 2.967 2.967 2.530
Os 0.000 0.000 2.530

***

2.
5
Lattice="4.569 0.000 0.000 0.000 4.569 0.000 0.000 0.000 4.569" Properties=species:S:1:pos:R:3 comment="SrFe3Br | the Alexandria database | PBE | relaxed" e_form_raw_ev_per_atom=0.92 de_polymorph_ev_per_fu=0.00 magnetic_moment_mub_per_cell=5.4 crystal_system=cubic pbc="T T T"
Sr 0.000 0.000 0.000
Fe 0.000 2.285 2.285
Fe 2.285 0.000 2.285
Fe 2.285 2.285 0.000
Br 2.285 2.285 2.285

***

3.
10
Lattice="7.006 0.000 0.000 0.000 6.868 0.000 0.000 0.000 6.854" Properties=species:S:1:pos:R:3 comment="KGaPb3 | the Alexandria database | PBE | relaxed" de_polymorph_ev_per_fu=0.00 magnetic_moment_mub_per_cell=0.0 crystal_system=orthorhombic pbc="T T T"
K 0.000 1.568 0.000
K 3.503 5.299 3.427
Ga 0.000 4.119 4.592
Ga 3.503 2.748 1.165
Pb 0.000 6.116 2.609
Pb 1.749 1.914 3.472
Pb 1.754 4.954 0.045
Pb 3.503 0.751 6.036
Pb 5.257 1.914 3.472
Pb 5.252 4.954 0.045

***

4.
10
Lattice="7.585 0.000 0.000 0.000 7.585 0.000 0.000 0.000 2.756" Properties=species:S:1:pos:R:3 comment="TiRe2Os2 | the Alexandria database | PBE | relaxed" de_polymorph_ev_per_fu=0.09 magnetic_moment_mub_per_cell=0.0 crystal_system=tetragonal pbc="T T T"
Ti 0.000 0.000 0.000
Ti 3.793 3.793 0.000
Re 0.934 2.859 0.000
Re 2.859 6.651 0.000
Re 4.727 0.934 0.000
Re 6.651 4.727 0.000
Os 1.303 5.095 1.378
Os 2.490 1.303 1.378
Os 5.095 6.283 1.378
Os 6.283 2.490 1.378

***

5.
11
Lattice="-1.811 9.786 4.792 1.811 -9.786 4.792 1.811 9.786 -4.792" Properties=species:S:1:pos:R:3 comment="Ho2Er7Tl2 | the Alexandria database | PBE | relaxed" dft_energy_ev_per_fu=-46.013 magnetic_moment_mub_per_cell=0.0 crystal_system=orthorhombic pbc="T T T"
Ho 0.000 0.000 0.000
Ho 0.000 9.786 1.665
Er 1.811 -2.601 1.306
Er 1.811 2.601 1.306
Er 0.000 0.000 3.336
Er 0.000 6.677 0.072
Er 0.000 12.895 0.072
Er 1.811 7.188 3.047
Er 0.000 2.598 7.839
Tl 1.811 5.047 -1.962
Tl 0.000 4.739 2.830

***

6.
4
Lattice="1.698 0.980 9.791 -1.698 0.980 9.791 0.000 -1.961 9.791" Properties=species:S:1:pos:R:3 comment="TcHgPb2 | the Alexandria database | PBE | relaxed" dft_energy_ev_per_fu=-16.421 magnetic_moment_mub_per_cell=0.0 crystal_system=trigonal pbc="T T T"
Tc 0.000 0.000 0.000
Hg 0.000 0.000 14.687
Pb 0.000 0.000 7.712
Pb 0.000 0.000 21.662

***

7.
10
Lattice="2.651 -10.363 0.000 2.651 10.363 0.000 0.000 0.000 5.294" Properties=species:S:1:pos:R:3 comment="Sm3MgHg | the Alexandria database | PBE | relaxed" de_polymorph_ev_per_fu=0.00 magnetic_moment_mub_per_cell=0.6 crystal_system=orthorhombic pbc="T T T"
Sm 2.651 9.164 3.971
Sm 2.651 5.196 3.971
Sm 2.651 1.299 3.971
Sm 2.651 -1.299 1.324
Sm 2.651 -5.196 1.324
Sm 2.651 -9.164 1.324
Mg 2.651 7.184 1.324
Mg 2.651 -7.184 3.971
Hg 2.651 3.262 1.324
Hg 2.651 -3.262 3.971

***

8.
8
Lattice="-3.090 3.090 5.707 3.090 -3.090 5.707 3.090 3.090 -5.707" Properties=species:S:1:pos:R:3 comment="TlTeIr2 | the Alexandria database | PBE | relaxed" e_form_raw_ev_per_atom=0.70 de_polymorph_ev_per_fu=1.26 magnetic_moment_mub_per_cell=0.0 crystal_system=tetragonal pbc="T T T"
Tl 0.000 0.000 0.000
Tl 0.000 3.090 2.853
Te 3.090 0.000 2.853
Te 0.000 0.000 5.707
Ir 1.545 -1.379 4.280
Ir 1.711 1.545 1.427
Ir 1.545 4.469 -1.427
Ir 1.379 1.545 7.134

***

9.
4
Lattice="5.893 -1.882 0.000 5.893 1.882 0.000 -1.619 0.000 5.093" Properties=species:S:1:pos:R:3 comment="SrCaAg2 | the Alexandria database | PBE | relaxed" dft_energy_ev_per_fu=-10.154 magnetic_moment_mub_per_cell=0.0 crystal_system=monoclinic pbc="T T T"
Sr 0.000 0.000 0.000
Ca 1.423 0.000 3.279
Ag 4.561 0.000 2.367
Ag 8.619 0.000 0.976

***

10.
4
Lattice="3.780 0.000 0.000 0.000 3.791 0.000 -0.012 0.000 6.622" Properties=species:S:1:pos:R:3 comment="Sc2TlSb | the Alexandria database | PBE | relaxed" e_form_raw_ev_per_atom=-0.46 de_polymorph_ev_per_fu=0.23 magnetic_moment_mub_per_cell=0.6 crystal_system=monoclinic pbc="T T T"
Sc 3.776 0.000 1.564
Sc -0.008 0.000 5.058
Tl 1.884 1.896 3.311
Sb 1.890 1.896 0.000

***

11.
6
Lattice="4.931 0.000 0.000 0.000 3.690 0.000 -0.018 0.000 6.461" Properties=species:S:1:pos:R:3 comment="NiPdSe4 | the Alexandria database | PBE | relaxed" e_form_raw_ev_per_atom=-0.27 magnetic_moment_mub_per_cell=0.0 crystal_system=monoclinic pbc="T T T"
Ni 0.000 0.000 0.000
Pd -0.009 1.845 3.230
Se 1.230 1.845 1.001
Se 1.260 0.000 4.427
Se 3.654 0.000 2.033
Se 3.683 1.845 5.460

***

12.
4
Lattice="1.443 0.833 9.430 -1.443 0.833 9.430 0.000 -1.666 9.430" Properties=species:S:1:pos:R:3 comment="Ta2RhAu | the Alexandria database | PBE | relaxed" dft_energy_ev_per_fu=-34.557 magnetic_moment_mub_per_cell=0.0 crystal_system=trigonal pbc="T T T"
Ta 0.000 0.000 6.975
Ta 0.000 0.000 21.316
Rh 0.000 0.000 14.145
Au 0.000 0.000 0.000

***

Copy entry 10 word for word.
4
Lattice="3.780 0.000 0.000 0.000 3.791 0.000 -0.012 0.000 6.622" Properties=species:S:1:pos:R:3 comment="Sc2TlSb | the Alexandria database | PBE | relaxed" e_form_raw_ev_per_atom=-0.46 de_polymorph_ev_per_fu=0.23 magnetic_moment_mub_per_cell=0.6 crystal_system=monoclinic pbc="T T T"
Sc 3.776 0.000 1.564
Sc -0.008 0.000 5.058
Tl 1.884 1.896 3.311
Sb 1.890 1.896 0.000

***

- What is the formula in the sixth record?
  TcHgPb2